Material: AcBiI
Method: DFT, GGA-PBE
State: optimized geometry

Cell: 4.2789 4.2789 6.6732 Å, 108.70 108.70 90.00°
Element x y z (fractional)
Ac  0.6248  0.6248  0.2496
Bi  0.9551  0.9551  0.9103
I  0.2701  0.2701  0.5401

Properties
ΔE_f (raw) (eV/atom): -0.7555
Uncorrected energy (eV/f.u.): -11.8
Fermi-level density of states (states/eV/atom): 0.748
SG: I4mm
Theoretical density (g/cm³): 8.6
ΔE to the lowest computed polymorph (meV/atom): 147